# GGA-PBE Cs3BRu, optimized geometry
data_Cs3BRu
_symmetry_space_group_name_H-M 'P m -3 m'
_symmetry_Int_Tables_number 221
_symmetry_space_group_name_Hall '-P 4 2 3'
_cell_length_a 5.854
_cell_length_b 5.854
_cell_length_c 5.854
_cell_angle_alpha 90.00
_cell_angle_beta 90.00
_cell_angle_gamma 90.00
loop_
_atom_site_label
_atom_site_type_symbol
_atom_site_fract_x
_atom_site_fract_y
_atom_site_fract_z
_atom_site_occupancy
Cs1 Cs 0.000 0.000 0.500 1
B1 B 0.500 0.500 0.500 1
Ru1 Ru 0.000 0.000 0.000 1
# total magnetic moment: 2.38 μB/cell
# energy of formation: 1.63 eV per atom
# calculated total energy: -10.367 eV/cell


# GGA-PBE Cs2BRu, optimized geometry
data_Cs2BRu
_symmetry_space_group_name_H-M 'I 41/a m d'
_symmetry_Int_Tables_number 141
_cell_length_a 12.528
_cell_length_b 12.528
_cell_length_c 4.043
_cell_angle_alpha 90.00
_cell_angle_beta 90.00
_cell_angle_gamma 90.00
loop_
_symmetry_equiv_pos_as_xyz
'x,y,z'
'-x,-y,-z'
'-y+1/4,x+3/4,z+1/4'
'y+1/4,-x+3/4,-z+1/4'
'-x+1/2,-y,z+1/2'
'x+1/2,y,-z+1/2'
'y+1/4,-x+1/4,z+3/4'
'-y+1/4,x+1/4,-z+3/4'
'x,-y,-z'
'-x,y,z'
'-y+1/4,-x+1/4,-z+3/4'
'y+1/4,x+1/4,z+3/4'
'-x+1/2,y,-z+1/2'
'x+1/2,-y,z+1/2'
'y+1/4,x+3/4,-z+1/4'
'-y+1/4,-x+3/4,z+1/4'
'x+1/2,y+1/2,z+1/2'
'-x+1/2,-y+1/2,-z+1/2'
'-y+3/4,x+1/4,z+3/4'
'y+3/4,-x+1/4,-z+3/4'
'-x,-y+1/2,z'
'x,y+1/2,-z'
'y+3/4,-x+3/4,z+1/4'
'-y+3/4,x+3/4,-z+1/4'
'x+1/2,-y+1/2,-z+1/2'
'-x+1/2,y+1/2,z+1/2'
'-y+3/4,-x+3/4,-z+1/4'
'y+3/4,x+3/4,z+1/4'
'-x,y+1/2,-z'
'x,-y+1/2,z'
'y+3/4,x+1/4,-z+3/4'
'-y+3/4,-x+1/4,z+3/4'
loop_
_atom_site_label
_atom_site_type_symbol
_atom_site_fract_x
_atom_site_fract_y
_atom_site_fract_z
_atom_site_occupancy
Cs1 Cs 0.000 0.000 0.000 1
B1 B 0.000 0.250 0.375 1
Ru1 Ru 0.000 0.250 0.875 1
# total magnetic moment: 0.03 μB/cell
# energy of formation: 0.82 eV per atom
# calculated total energy: -57.569 eV/cell


# GGA-PBE CsBRu3, optimized geometry
data_CsBRu3
_symmetry_space_group_name_H-M 'P m -3 m'
_symmetry_Int_Tables_number 221
_symmetry_space_group_name_Hall '-P 4 2 3'
_cell_length_a 4.959
_cell_length_b 4.959
_cell_length_c 4.959
_cell_angle_alpha 90.00
_cell_angle_beta 90.00
_cell_angle_gamma 90.00
loop_
_atom_site_label
_atom_site_type_symbol
_atom_site_fract_x
_atom_site_fract_y
_atom_site_fract_z
_atom_site_occupancy
Cs1 Cs 0.000 0.000 0.000 1
B1 B 0.500 0.500 0.500 1
Ru1 Ru 0.000 0.000 0.500 1
# total magnetic moment: 4.17 μB/cell
# energy of formation: 3.71 eV per atom
# calculated total energy: -16.815 eV/cell


# GGA-PBE Cs2BRu, optimized geometry
data_Cs2BRu
_symmetry_space_group_name_H-M 'F m -3 m'
_symmetry_Int_Tables_number 225
_symmetry_space_group_name_Hall '-F 4 2 3'
_cell_length_a 8.179
_cell_length_b 8.179
_cell_length_c 8.179
_cell_angle_alpha 90.00
_cell_angle_beta 90.00
_cell_angle_gamma 90.00
loop_
_atom_site_label
_atom_site_type_symbol
_atom_site_fract_x
_atom_site_fract_y
_atom_site_fract_z
_atom_site_occupancy
Cs1 Cs 0.250 0.250 0.250 1
B1 B 0.000 0.000 0.000 1
Ru1 Ru 0.000 0.000 0.500 1
# total magnetic moment: 4.05 μB/cell
# energy of formation: 2.09 eV per atom
# calculated total energy: -37.133 eV/cell


# GGA-PBE CsY2BRu, optimized geometry
data_CsY2BRu
_symmetry_space_group_name_H-M 'P 4/m m m'
_symmetry_Int_Tables_number 123
_symmetry_space_group_name_Hall '-P 4 2'
_cell_length_a 5.443
_cell_length_b 5.443
_cell_length_c 4.390
_cell_angle_alpha 90.00
_cell_angle_beta 90.00
_cell_angle_gamma 90.00
loop_
_atom_site_label
_atom_site_type_symbol
_atom_site_fract_x
_atom_site_fract_y
_atom_site_fract_z
_atom_site_occupancy
Cs1 Cs 0.000 0.000 0.000 1
Y1 Y 0.000 0.500 0.500 1
B1 B 0.500 0.500 0.000 1
Ru1 Ru 0.500 0.500 0.500 1
# total magnetic moment: 0.00 μB/cell
# energy of formation: 0.51 eV per atom
# calculated total energy: -27.200 eV/cell


# GGA-PBE Cs2B2S, optimized geometry
data_Cs2B2S
_symmetry_space_group_name_H-M 'P 4/m b m'
_symmetry_Int_Tables_number 127
_symmetry_space_group_name_Hall '-P 4 2ab'
_cell_length_a 6.889
_cell_length_b 6.889
_cell_length_c 5.336
_cell_angle_alpha 90.00
_cell_angle_beta 90.00
_cell_angle_gamma 90.00
loop_
_atom_site_label
_atom_site_type_symbol
_atom_site_fract_x
_atom_site_fract_y
_atom_site_fract_z
_atom_site_occupancy
Cs1 Cs 0.211 0.289 0.000 1
B1 B 0.083 0.583 0.500 1
S1 S 0.000 0.000 0.500 1
# ΔE_f (raw): 0.8643 eV/atom
# total magnetic moment: 0.00 μB/cell
# calculated total energy: -29.735 eV/cell


# GGA-PBE Cs4B2S5, optimized geometry
data_Cs4B2S5
_symmetry_space_group_name_H-M 'C 1 m 1'
_symmetry_Int_Tables_number 8
_cell_length_a 11.841
_cell_length_b 7.569
_cell_length_c 8.893
_cell_angle_alpha 90.00
_cell_angle_beta 98.04
_cell_angle_gamma 90.00
loop_
_symmetry_equiv_pos_as_xyz
'x,y,z'
'x,-y,z'
'x+1/2,y+1/2,z'
'x+1/2,-y+1/2,z'
loop_
_atom_site_label
_atom_site_type_symbol
_atom_site_fract_x
_atom_site_fract_y
_atom_site_fract_z
_atom_site_occupancy
Cs1 Cs 0.000 0.000 0.000 1
Cs2 Cs 0.041 0.500 0.694 1
Cs3 Cs 0.192 0.000 0.500 1
Cs4 Cs 0.234 0.500 0.208 1
B1 B 0.287 0.000 0.937 1
B2 B 0.425 0.000 0.271 1
S1 S 0.276 0.000 0.151 1
S2 S 0.284 0.212 0.845 1
S3 S 0.485 0.211 0.331 1
# ΔE_f (raw): -0.9570 eV/atom
# total magnetic moment: 0.00 μB/cell
# calculated total energy: -95.867 eV/cell


# GGA-PBE CsB3S, optimized geometry
data_CsB3S
_symmetry_space_group_name_H-M 'P m -3 m'
_symmetry_Int_Tables_number 221
_symmetry_space_group_name_Hall '-P 4 2 3'
_cell_length_a 4.338
_cell_length_b 4.338
_cell_length_c 4.338
_cell_angle_alpha 90.00
_cell_angle_beta 90.00
_cell_angle_gamma 90.00
loop_
_atom_site_label
_atom_site_type_symbol
_atom_site_fract_x
_atom_site_fract_y
_atom_site_fract_z
_atom_site_occupancy
Cs1 Cs 0.000 0.000 0.000 1
B1 B 0.000 0.500 0.500 1
S1 S 0.500 0.500 0.500 1
# ΔE_f (raw): 2.1509 eV/atom
# total magnetic moment: 0.00 μB/cell
# calculated total energy: -14.259 eV/cell


# GGA-PBE CsB2S, optimized geometry
data_CsB2S
_symmetry_space_group_name_H-M 'I 41/a m d'
_symmetry_Int_Tables_number 141
_cell_length_a 4.549
_cell_length_b 4.549
_cell_length_c 14.433
_cell_angle_alpha 90.00
_cell_angle_beta 90.00
_cell_angle_gamma 90.00
loop_
_symmetry_equiv_pos_as_xyz
'x,y,z'
'-x,-y,-z'
'-y+1/4,x+3/4,z+1/4'
'y+1/4,-x+3/4,-z+1/4'
'-x+1/2,-y,z+1/2'
'x+1/2,y,-z+1/2'
'y+1/4,-x+1/4,z+3/4'
'-y+1/4,x+1/4,-z+3/4'
'x,-y,-z'
'-x,y,z'
'-y+1/4,-x+1/4,-z+3/4'
'y+1/4,x+1/4,z+3/4'
'-x+1/2,y,-z+1/2'
'x+1/2,-y,z+1/2'
'y+1/4,x+3/4,-z+1/4'
'-y+1/4,-x+3/4,z+1/4'
'x+1/2,y+1/2,z+1/2'
'-x+1/2,-y+1/2,-z+1/2'
'-y+3/4,x+1/4,z+3/4'
'y+3/4,-x+1/4,-z+3/4'
'-x,-y+1/2,z'
'x,y+1/2,-z'
'y+3/4,-x+3/4,z+1/4'
'-y+3/4,x+3/4,-z+1/4'
'x+1/2,-y+1/2,-z+1/2'
'-x+1/2,y+1/2,z+1/2'
'-y+3/4,-x+3/4,-z+1/4'
'y+3/4,x+3/4,z+1/4'
'-x,y+1/2,-z'
'x,-y+1/2,z'
'y+3/4,x+1/4,-z+3/4'
'-y+3/4,-x+1/4,z+3/4'
loop_
_atom_site_label
_atom_site_type_symbol
_atom_site_fract_x
_atom_site_fract_y
_atom_site_fract_z
_atom_site_occupancy
Cs1 Cs 0.000 0.250 0.375 1
B1 B 0.000 0.000 0.000 1
S1 S 0.000 0.250 0.875 1
# ΔE_f (raw): 1.1149 eV/atom
# total magnetic moment: 0.00 μB/cell
# calculated total energy: -55.506 eV/cell


# GGA-PBE Cs2BS, optimized geometry
data_Cs2BS
_symmetry_space_group_name_H-M 'F m -3 m'
_symmetry_Int_Tables_number 225
_symmetry_space_group_name_Hall '-F 4 2 3'
_cell_length_a 8.277
_cell_length_b 8.277
_cell_length_c 8.277
_cell_angle_alpha 90.00
_cell_angle_beta 90.00
_cell_angle_gamma 90.00
loop_
_atom_site_label
_atom_site_type_symbol
_atom_site_fract_x
_atom_site_fract_y
_atom_site_fract_z
_atom_site_occupancy
Cs1 Cs 0.250 0.250 0.250 1
B1 B 0.000 0.000 0.000 1
S1 S 0.000 0.000 0.500 1
# ΔE_f (raw): 0.6369 eV/atom
# total magnetic moment: 4.00 μB/cell
# calculated total energy: -39.857 eV/cell


# GGA-PBE Cs2BS2, optimized geometry
data_Cs2BS2
_symmetry_space_group_name_H-M 'P n m a'
_symmetry_Int_Tables_number 62
_cell_length_a 10.061
_cell_length_b 5.570
_cell_length_c 14.128
_cell_angle_alpha 90.00
_cell_angle_beta 90.00
_cell_angle_gamma 90.00
loop_
_symmetry_equiv_pos_as_xyz
'x,y,z'
'-x,-y,-z'
'-x+1/2,-y,z+1/2'
'x+1/2,y,-z+1/2'
'x+1/2,-y+1/2,-z+1/2'
'-x+1/2,y+1/2,z+1/2'
'-x,y+1/2,-z'
'x,-y+1/2,z'
loop_
_atom_site_label
_atom_site_type_symbol
_atom_site_fract_x
_atom_site_fract_y
_atom_site_fract_z
_atom_site_occupancy
Cs1 Cs 0.038 0.250 0.131 1
Cs2 Cs 0.109 0.750 0.409 1
B1 B 0.236 0.250 0.673 1
S1 S 0.118 0.250 0.764 1
S2 S 0.250 0.250 0.549 1
# ΔE_f (raw): -0.6705 eV/atom
# total magnetic moment: 0.00 μB/cell
# calculated total energy: -79.967 eV/cell


# GGA-PBE CsB3S, optimized geometry
data_CsB3S
_symmetry_space_group_name_H-M 'P m -3 m'
_symmetry_Int_Tables_number 221
_symmetry_space_group_name_Hall '-P 4 2 3'
_cell_length_a 5.110
_cell_length_b 5.110
_cell_length_c 5.110
_cell_angle_alpha 90.00
_cell_angle_beta 90.00
_cell_angle_gamma 90.00
loop_
_atom_site_label
_atom_site_type_symbol
_atom_site_fract_x
_atom_site_fract_y
_atom_site_fract_z
_atom_site_occupancy
Cs1 Cs 0.000 0.000 0.000 1
B1 B 0.000 0.000 0.500 1
S1 S 0.500 0.500 0.500 1
# ΔE_f (raw): 3.4419 eV/atom
# total magnetic moment: 0.00 μB/cell
# calculated total energy: -7.804 eV/cell


What is the total magnetic moment in the third record?
4.17 μB/cell